[1]
ScCu2Se | Alexandria | PBE-GGA | optimized geometry; calculated volume = 17.5 Å³ per atom; formation energy (no corrections) = -0.268 eV/atom; raw total energy = -4.77 eV/atom; Fermi-level density of states = 7.272 states/eV/cell; SG = I-42d, No. 122
1.0
-7.227 -0.774 1.344
0.885 -7.318 0.546
-2.728 -3.804 3.465
Cu Se Sc
4 2 2
direct
0.375 0.337 0.750 Cu
0.875 0.913 0.750 Cu
0.087 0.625 0.250 Cu
0.663 0.125 0.250 Cu
0.750 0.250 0.500 Se
0.000 0.000 0.000 Se
0.500 0.500 0.000 Sc
0.250 0.750 0.500 Sc

[2]
ScCu3Se | Alexandria | PBE-GGA | optimized geometry; energy above the most stable polymorph in this dataset = 0.0 kJ/mol of formula units; calculated volume = 19.1 Å³ per atom; formation energy (no corrections) = 0.405 eV/atom; raw total energy = -4.02 eV/atom; Fermi-level density of states = 5.278 states/eV/cell; SG = Pm-3m, No. 221
1.0
-0.073 -0.747 4.511
-2.298 -3.895 -0.682
3.953 -2.277 -0.314
Cu Sc Se
3 1 1
direct
0.000 0.000 0.500 Cu
0.000 0.500 0.000 Cu
0.500 0.000 0.000 Cu
0.500 0.500 0.500 Sc
0.000 0.000 0.000 Se

[3]
ScCu2Se | Alexandria | PBE-GGA | optimized geometry; calculated volume = 17.6 Å³ per atom; formation energy (no corrections) = -0.390 eV/atom; raw total energy = -4.89 eV/atom; Fermi-level density of states = 1.742 states/eV/cell; SG = Cm, No. 8
1.0
3.890 -0.009 0.004
1.962 3.359 0.004
1.924 1.102 5.383
Se Cu Sc
1 2 1
direct
0.740 0.740 0.781 Se
0.264 0.264 0.207 Cu
0.988 0.988 0.034 Cu
0.507 0.507 0.479 Sc

[4]
ScCuSe2 | Alexandria | PBE-GGA | optimized geometry; calculated volume = 18.7 Å³ per atom; formation energy (no corrections) = -0.230 eV/atom; raw total energy = -4.58 eV/atom; Fermi-level density of states = 1.187 states/eV/cell; SG = F-43m, No. 216
1.0
-4.000 2.430 -0.697
-4.188 -2.080 0.724
-2.668 1.275 3.694
Cu Se Sc
1 2 1
direct
0.500 0.500 0.500 Cu
0.750 0.750 0.750 Se
0.000 0.000 0.000 Se
0.250 0.250 0.250 Sc

[5]
ScCu2Se | Alexandria | PBE-GGA | optimized geometry; calculated volume = 17.7 Å³ per atom; formation energy (no corrections) = -0.120 eV/atom; raw total energy = -4.62 eV/atom; Fermi-level density of states = 2.980 states/eV/cell; SG = R-3m, No. 166
1.0
5.713 0.017 0.011
4.336 3.719 0.011
4.336 1.612 3.352
Cu Se Sc
2 1 1
direct
0.484 0.484 0.484 Cu
0.016 0.016 0.016 Cu
0.750 0.750 0.750 Se
0.250 0.250 0.250 Sc

[6]
ScCuSe2 | Alexandria | PBE-GGA | optimized geometry; calculated volume = 19.5 Å³ per atom; formation energy (no corrections) = -0.679 eV/atom; raw total energy = -5.03 eV/atom; Fermi-level density of states = 1.212 states/eV/cell; SG = Pmmm, No. 47
1.0
-1.336 3.666 0.355
-5.360 -1.949 -0.032
0.090 -0.305 3.484
Sc Cu Se
1 1 2
direct
0.000 0.500 0.500 Sc
0.500 0.000 0.500 Cu
0.000 0.000 0.000 Se
0.500 0.500 0.000 Se

[7]
ScCu3Se | Alexandria | PBE-GGA | optimized geometry; energy above the most stable polymorph in this dataset = 360.3 kJ/mol of formula units; calculated volume = 22.2 Å³ per atom; formation energy (no corrections) = 1.151 eV/atom; raw total energy = -3.27 eV/atom; Fermi-level density of states = 2.808 states/eV/cell; SG = Pm-3m, No. 221
1.0
-2.548 0.668 4.016
-3.403 -2.950 -1.668
2.235 -3.731 2.038
Sc Cu Se
1 3 1
direct
0.000 0.000 0.000 Sc
0.000 0.500 0.000 Cu
0.000 0.000 0.500 Cu
0.500 0.000 0.000 Cu
0.500 0.500 0.500 Se

[8]
ScCuSe2 | Alexandria | PBE-GGA | optimized geometry; calculated volume = 19.7 Å³ per atom; formation energy (no corrections) = -0.935 eV/atom; raw total energy = -5.28 eV/atom; Fermi-level density of states = 1.829 states/eV/cell; SG = P4/mmm, No. 123
1.0
3.823 0.000 0.000
0.000 6.601 -0.017
0.000 4.393 3.105
Cu Sc Se
1 1 2
direct
0.500 0.500 0.500 Cu
0.000 0.000 0.500 Sc
0.000 0.000 0.000 Se
0.500 0.500 0.000 Se

Q: What is the formula in the first record?
A: ScCu2Se